(1)
Density functional theory data (PBE) for a geometry-optimized ZnHgRu structure.

a b c (Å): 7.3313 7.0651 2.8891
angles (deg): 83.65 73.29 23.06
Last column: magnetic moment on the atom in μB.
Atoms (fractional coordinates):
Hg (0.0004, 0.0004, 0.9996)  -0.01
Ru (0.6755, 0.6755, 0.3245)  0.96
Zn (0.3241, 0.3241, 0.6759)  -0.01

magnetic moment	0.97	μB per formula unit
distance to the lowest polymorph of the same formula	0.082	eV/atom
E_form	0.394	eV/atom
crystal system	orthorhombic

---

(2)
Density functional theory data (PBE) for a geometry-optimized ZrTe2I structure.

a b c (Å): 4.0999 3.7279 9.7297
angles (deg): 67.07 79.17 90.00
Atoms (fractional coordinates):
Zr (0.7706, 0.7497, 0.2147)
Te (0.2191, 0.1267, 0.3356)
Te (0.5852, 0.3980, 0.5603)
I (0.8872, 0.5142, 0.9547)

energy relative to the elements, uncorrected	-499	meV per atom
magnetic moment	0.00	μB per formula unit
distance to the lowest polymorph of the same formula	0.051	eV/atom
crystal system	triclinic

---

(3)
Density functional theory data (PBE) for a geometry-optimized NpAl2In structure.

a b c (Å): 4.2199 4.4752 4.4752
angles (deg): 90.00 90.00 90.00
Last column: magnetic moment on the atom in μB.
Atoms (fractional coordinates):
Np (0.5000, 0.5000, 0.5000)  3.69
Al (0.0000, 0.0000, 0.5000)  0.00
Al (0.0000, 0.5000, 0.0000)  0.00
In (0.5000, 0.0000, 0.0000)  0.01

magnetic moment	3.99	μB per formula unit
E_form	-0.016	eV/atom
crystal system	tetragonal

---

(4)
Density functional theory data (PBE) for a geometry-optimized NaH3Ir structure.

a b c (Å): 4.9180 4.9186 5.6365
angles (deg): 90.00 64.16 59.99
Atoms (fractional coordinates):
Na (0.9272, 0.4913, 0.4188)
Na (0.4992, 0.7052, 0.0603)
H (0.3664, 0.0230, 0.5111)
H (0.0599, 0.6762, 0.9680)
H (0.5631, 0.1732, 0.9677)
H (0.0600, 0.1735, 0.9680)
H (0.3665, 0.5203, 0.5111)
H (0.8633, 0.0232, 0.5115)
Ir (0.0717, 0.9190, 0.7022)
Ir (0.3547, 0.2775, 0.7769)

magnetic moment	0.00	μB per formula unit
distance to the lowest polymorph of the same formula	0.128	eV/atom
crystal system	trigonal

---

(5)
Density functional theory data (PBE) for a geometry-optimized TlReBr2 structure.

a b c (Å): 5.4078 5.4078 5.4078
angles (deg): 60.00 60.00 60.00
Last column: magnetic moment on the atom in μB.
Atoms (fractional coordinates):
Re (0.5000, 0.5000, 0.5000)  4.00
Tl (0.7500, 0.7500, 0.7500)  0.09
Br (0.0000, 0.0000, 0.0000)  0.20
Br (0.2500, 0.2500, 0.2500)  0.27

energy relative to the elements, uncorrected	1156	meV per atom
magnetic moment	5.66	μB per formula unit
distance to the lowest polymorph of the same formula	0.838	eV/atom
crystal system	cubic

---

(6)
Density functional theory data (PBE) for a geometry-optimized CaTiGeMo2 structure.

a b c (Å): 4.6026 4.6176 4.6026
angles (deg): 90.00 90.00 90.00
Atoms (fractional coordinates):
Mo (0.0000, 0.0000, 0.5000)
Mo (0.5000, 0.0000, 0.0000)
Ca (0.0000, 0.0000, 0.0000)
Ge (0.5000, 0.5000, 0.5000)
Ti (0.0000, 0.5000, 0.0000)

magnetic moment	0.00	μB per formula unit
E_form	2.249	eV/atom
crystal system	tetragonal

---

For reference, mass density by record: 11.908 5.862 7.973 7.104 8.173 5.983 Mg/m³.